[1]
A geometry-optimized AgHI structure. Source: Alexandria, functional PBE-GGA.

Geometry as POSCAR:
```
AgHI
1.0
-0.655 -2.262 -5.409
3.136 -2.958 0.858
-7.467 -6.826 3.756
Ag I H
4 4 4
Direct
0.304 0.000 0.184
0.696 0.500 0.316
0.804 0.500 0.816
0.196 0.000 0.684
0.454 0.500 0.587
0.046 0.500 0.087
0.546 0.000 0.913
0.954 0.000 0.413
0.000 0.750 0.750
0.000 0.250 0.750
0.500 0.750 0.250
0.500 0.250 0.250
```

## Properties
**Space-group type**: No. 62
**Offset from the most stable computed form**: 288 meV per atom

---

[2]
A geometry-optimized Zr2TlO2 structure. Source: Alexandria, functional PBE-GGA.

Geometry as POSCAR:
```
Zr2TlO2
1.0
-3.307 1.385 -0.646
-1.528 -3.033 1.317
-2.481 1.696 6.064
Zr Tl O
2 1 2
Direct
0.346 0.346 0.308
0.654 0.654 0.692
0.000 0.000 0.000
0.750 0.250 0.500
0.250 0.750 0.500
```

## Properties
**Space-group type**: No. 139
**Formation energy from raw total energies**: -1.950 eV per atom

---

[3]
A geometry-optimized Tb3IrPd2 structure. Source: Alexandria, functional PBE-GGA.

Geometry as POSCAR:
```
Tb3IrPd2
1.0
-2.123 0.238 4.465
3.777 -4.905 4.801
4.364 5.125 1.803
Ir Pd Tb
2 4 6
Direct
0.664 0.672 0.000
0.336 0.328 0.000
0.000 0.000 0.000
0.000 0.000 0.500
0.667 0.667 0.500
0.333 0.333 0.500
0.501 0.000 0.755
0.169 0.662 0.242
0.499 0.000 0.245
0.830 0.338 0.242
0.170 0.662 0.758
0.831 0.338 0.758
```

## Properties
**E_form**: -0.87 eV/atom
**Space-group type**: No. 65

---

[4]
A geometry-optimized NaNbH2I structure. Source: Alexandria, functional PBE-GGA.

Geometry as POSCAR:
```
NaNbH2I
1.0
-1.903 -2.368 -2.773
4.370 -3.894 0.327
-1.974 -1.961 3.029
Nb Na H I
1 1 2 1
Direct
0.000 0.000 0.000
0.500 0.500 0.500
0.500 0.000 0.000
0.000 0.000 0.500
0.000 0.500 0.000
```

## Properties
**Space-group type**: No. 123
**Calculated total energy**: -3.805 eV/atom

---

The records above give, respectively, DOS(E_F) values of 1.6; 3.0; 5.7; 2.5 states/eV/cell.